First-principles (GGA-PBE) data for a geometry-optimized MgNpSb3 structure, as listed in the Alexandria database.

```
20
Lattice="6.3654 0.0000 0.0000 0.0000 6.1525 0.0000 0.0000 0.0000 13.1674" Properties=species:S:1:pos:R:3 pbc="T T T"
Mg 3.1827 1.5381 1.4001
Mg 0.0000 4.6144 11.7674
Mg 0.0000 1.5381 1.4001
Mg 3.1827 4.6144 11.7674
Sb 0.0000 1.5381 6.5607
Sb 0.0000 4.6144 6.6068
Sb 3.1827 4.6144 6.6068
Sb 3.1827 1.5381 6.5607
Sb 1.5914 3.0694 9.6816
Sb 1.5914 4.1466 1.0976
Sb 4.7741 3.0831 3.4858
Sb 4.7741 2.0059 12.0699
Sb 1.5914 6.1456 3.4858
Sb 1.5914 1.0703 12.0699
Sb 4.7741 5.0822 1.0976
Sb 4.7741 0.0069 9.6816
Np 4.7741 3.0660 8.9961
Np 1.5914 3.0865 4.1713
Np 4.7741 6.1422 4.1713
Np 1.5914 0.0102 8.9961
```

Raw total energy ... -111.90 eV per cell
Fermi-level density of states ... 2.43 states/eV/atom
Formation energy (no corrections) ... -214 meV per atom
Crystal system ... orthorhombic



First-principles (GGA-PBE) data for a geometry-optimized MgNpSb2 structure, as listed in the Alexandria database.

```
4
Lattice="-0.2116 -4.4475 -0.1618 3.3462 -2.4501 1.6282 -1.8990 -2.3750 6.4247" Properties=species:S:1:pos:R:3 pbc="T T T"
Mg 0.0000 0.0000 0.0000
Np 0.6178 -4.6363 3.9456
Sb 0.9109 -6.9548 5.9501
Sb 0.3247 -2.3177 1.9410
```

Raw total energy ... -23.41 eV per cell
Fermi-level density of states ... 2.65 states/eV/atom
Formation energy (no corrections) ... -157 meV per atom
Crystal system ... trigonal



First-principles (GGA-PBE) data for a geometry-optimized MgNpSc2 structure, as listed in the Alexandria database.

```
4
Lattice="-0.9687 3.0065 -0.1831 -2.8304 0.8230 1.1502 3.1826 3.2890 9.8307" Properties=species:S:1:pos:R:3 pbc="T T T"
Mg -0.3082 3.5593 5.3989
Np 0.0000 0.0000 0.0000
Sc -0.4472 5.3457 8.1306
Sc -0.1692 1.7728 2.6672
```

Raw total energy ... -26.51 eV per cell
Fermi-level density of states ... 1.54 states/eV/atom
Formation energy ... 0.17 eV per atom
Crystal system ... trigonal



First-principles (GGA-PBE) data for a geometry-optimized MgNpSc structure, as listed in the Alexandria database.

```
6
Lattice="2.9026 0.0000 0.0000 -1.4513 4.8969 -0.5155 0.0000 -3.3203 9.3618" Properties=species:S:1:pos:R:3 pbc="T T T"
Np 1.4513 1.1421 0.3973
Np 0.0000 0.4345 8.4490
Mg 0.0000 1.8580 3.5578
Mg 1.4513 -0.2814 5.2885
Sc 0.0000 -2.4567 7.0501
Sc 1.4513 4.0333 1.7962
```

Raw total energy ... -40.16 eV per cell
Fermi-level density of states ... 1.60 states/eV/atom
Formation energy ... 0.26 eV per atom
Crystal system ... monoclinic



First-principles (GGA-PBE) data for a geometry-optimized MgNpSe2 structure, as listed in the Alexandria database.

```
4
Lattice="-0.1516 -3.1380 2.2679 2.6171 -0.4833 2.8161 -3.4088 2.2702 6.2232" Properties=species:S:1:pos:R:3 pbc="T T T"
Mg -1.7529 -0.1541 9.5994
Se -0.1243 -0.4294 2.7075
Se -2.4777 1.5049 5.2265
Np -0.4689 -0.6778 5.6507
```

Raw total energy ... -25.64 eV per cell
Fermi-level density of states ... 2.09 states/eV/atom
Formation energy (no corrections) ... -1033 meV per atom
Distance to the lowest polymorph of the same formula ... 0.000 eV per atom
Crystal system ... trigonal



First-principles (GGA-PBE) data for a geometry-optimized MgNpSe2 structure, as listed in the Alexandria database.

```
4
Lattice="4.0718 0.0000 0.0000 2.0359 3.5263 0.0000 2.0359 1.1754 8.5629" Properties=species:S:1:pos:R:3 pbc="T T T"
Se 2.0359 1.1754 5.9327
Se 6.1077 3.5263 2.6302
Mg 0.0000 0.0000 0.0000
Np 4.0718 2.3508 4.2815
```

Raw total energy ... -24.44 eV per cell
Fermi-level density of states ... 2.88 states/eV/atom
Formation energy (no corrections) ... -734 meV per atom
Distance to the lowest polymorph of the same formula ... 0.298 eV per atom
Crystal system ... trigonal